<w>
The following is a GGA-PBE calculation of a relaxed K2PdW crystal, from Alexandria via LeMat-Bulk.

Its density of states at the Fermi level is 0.9258 states/eV per atom.

It has space group I-42d (No. 122), with a = 12.160 Å, b = 12.160 Å, c = 4.935 Å, α = 90.00°, β = 90.00° and γ = 90.00°. The asymmetric unit holds K at (0.080, 0.750, 0.125), Pd at (0.000, 0.000, 0.000) and W at (0.000, 0.000, 0.500).


<x>
The following is a GGA-PBE calculation of a relaxed K2PdW crystal, from Alexandria via LeMat-Bulk.

Its density of states at the Fermi level is 0.4841 states/eV per atom.

It has space group Fm-3m (No. 225), with a = 7.856 Å, b = 7.856 Å, c = 7.856 Å, α = 90.00°, β = 90.00° and γ = 90.00°. The asymmetric unit holds K at (0.250, 0.250, 0.250), Pd at (0.000, 0.000, 0.000) and W at (0.000, 0.000, 0.500).


Among the structures above, stability is greatest for <w>.